Entry 1:
# Al9Co2

A geometry-optimized Al9Co2 structure (PBE, the Alexandria database).

The energy of formation from the pure elements is -335 meV/atom. As for the density of states at the Fermi level: 2.4 states/eV/f.u. As for the electronic total energy: -4.69 eV/atom.

Geometry as CIF:
```
data_Al9Co2
_symmetry_space_group_name_H-M 'P 1 21/c 1'
_symmetry_Int_Tables_number 14
_cell_length_a 6.1988
_cell_length_b 6.2854
_cell_length_c 8.5422
_cell_angle_alpha 90.00
_cell_angle_beta 94.91
_cell_angle_gamma 90.00
loop_
_symmetry_equiv_pos_as_xyz
'x,y,z'
'-x,-y,-z'
'-x,y+1/2,-z+1/2'
'x,-y+1/2,z+1/2'
loop_
_atom_site_label
_atom_site_type_symbol
_atom_site_fract_x
_atom_site_fract_y
_atom_site_fract_z
Al1 Al 0.0000 0.0000 0.0000
Al2 Al 0.0878 0.2103 0.7295
Al3 Al 0.2154 0.6142 0.0437
Al4 Al 0.3906 0.1920 0.9971
Al5 Al 0.4054 0.5334 0.7679
Co1 Co 0.2636 0.6184 0.3331
```

=====

Entry 2:
# Tb2NiPd

A geometry-optimized Tb2NiPd structure (PBE, the Alexandria database).

The energy of formation from the pure elements is -24 meV/atom. As for the density of states at the Fermi level: 3.0 states/eV/f.u. As for the electronic total energy: -5.08 eV/atom.

Geometry as CIF:
```
data_Tb2NiPd
_symmetry_space_group_name_H-M 'R -3 m'
_symmetry_Int_Tables_number 166
_symmetry_space_group_name_Hall '-R 3 2"'
_cell_length_a 3.5699
_cell_length_b 3.5699
_cell_length_c 26.3178
_cell_angle_alpha 90.00
_cell_angle_beta 90.00
_cell_angle_gamma 120.00
loop_
_atom_site_label
_atom_site_type_symbol
_atom_site_fract_x
_atom_site_fract_y
_atom_site_fract_z
Tb1 Tb 0.0000 0.0000 0.1004
Ni1 Ni 0.0000 0.0000 0.5000
Pd1 Pd 0.0000 0.0000 0.0000
```

=====

Q: The lowest energy of formation from the pure elements belongs to which entry?
A: Al9Co2

=====

Copy entry 1 word for word.
# Al9Co2

A geometry-optimized Al9Co2 structure (PBE, the Alexandria database).

The energy of formation from the pure elements is -335 meV/atom. As for the density of states at the Fermi level: 2.4 states/eV/f.u. As for the electronic total energy: -4.69 eV/atom.

Geometry as CIF:
```
data_Al9Co2
_symmetry_space_group_name_H-M 'P 1 21/c 1'
_symmetry_Int_Tables_number 14
_cell_length_a 6.1988
_cell_length_b 6.2854
_cell_length_c 8.5422
_cell_angle_alpha 90.00
_cell_angle_beta 94.91
_cell_angle_gamma 90.00
loop_
_symmetry_equiv_pos_as_xyz
'x,y,z'
'-x,-y,-z'
'-x,y+1/2,-z+1/2'
'x,-y+1/2,z+1/2'
loop_
_atom_site_label
_atom_site_type_symbol
_atom_site_fract_x
_atom_site_fract_y
_atom_site_fract_z
Al1 Al 0.0000 0.0000 0.0000
Al2 Al 0.0878 0.2103 0.7295
Al3 Al 0.2154 0.6142 0.0437
Al4 Al 0.3906 0.1920 0.9971
Al5 Al 0.4054 0.5334 0.7679
Co1 Co 0.2636 0.6184 0.3331
```

=====

Q: electronic total energy of number 1 (Al9Co2)?
A: -4.69 eV/atom